Below is a relaxed structure of ThAlIn, with properties calculated at the PBE level.

Output
crystal system	hexagonal
SG	No. 187

Unit cell a=4.5812 b=4.5812 c=4.1921 alpha=90.00 beta=90.00 gamma=120.00
Sites, in units of the cell vectors:
Th 0.0000 0.0000 0.0000
Al 0.6667 0.3333 0.5000
In 0.3333 0.6667 0.5000


Below is a relaxed structure of La3TePbBr, with properties calculated at the PBE level.

Output
crystal system	monoclinic
uncorrected formation energy	-1.05	eV per atom
SG	No. 11

Unit cell a=9.4369 b=4.5263 c=10.6624 alpha=90.00 beta=92.34 gamma=90.00
Sites, in units of the cell vectors:
La 0.1164 0.2500 0.3438
La 0.1576 0.2500 0.9416
La 0.3800 0.7500 0.6436
La 0.6200 0.2500 0.3564
La 0.8424 0.7500 0.0584
La 0.8836 0.7500 0.6562
Te 0.3687 0.7500 0.3340
Te 0.6313 0.2500 0.6660
Pb 0.1323 0.2500 0.6471
Pb 0.8677 0.7500 0.3529
Br 0.3672 0.7500 0.9331
Br 0.6328 0.2500 0.0669


Below is a relaxed structure of NaZrNi2Cl, with properties calculated at the PBE level.

Output
crystal system	tetragonal
uncorrected formation energy	0.73	eV per atom
SG	No. 123

Unit cell a=4.5744 b=4.5744 c=9.2748 alpha=90.00 beta=90.00 gamma=90.00
Sites, in units of the cell vectors:
Na 0.0000 0.0000 0.0000
Zr 0.0000 0.0000 0.5000
Ni 0.0000 0.5000 0.5000
Ni 0.5000 0.0000 0.5000
Cl 0.5000 0.5000 0.0000


What are the total DFT energy (no corrections) values for these records? In order: -14.9, -59.2, -19.6 eV/cell.